Version A
Below is a geometry-optimized AcMg3Zn2 structure, with properties calculated at the PBE-GGA level.

```
12
Lattice="4.536 0.000 0.000 -2.268 8.486 0.103 0.000 -3.739 7.539" Properties=species:S:1:pos:R:3 pbc="T T T"
Ac 2.268 2.439 7.114
Ac 0.000 2.309 0.527
Mg 0.000 3.291 4.240
Mg 2.268 5.404 4.839
Mg 2.268 -0.948 5.218
Mg 0.000 5.695 2.424
Mg 0.000 -0.656 2.802
Mg 2.268 1.456 3.401
Zn 0.000 4.997 6.430
Zn 2.268 -0.250 1.211
Zn 2.268 4.051 2.324
Zn 0.000 0.696 5.318
```

symmetry: C2/m (12)
DOS(E_F): 8.7 states/eV/cell

Version B
Below is a geometry-optimized AcMg3Zn2 structure, with properties calculated at the PBE-GGA level.

```
18
Lattice="4.678 0.000 0.000 0.000 8.919 -5.150 0.000 0.000 10.299" Properties=species:S:1:pos:R:3 pbc="T T T"
Ac 2.339 0.000 0.000
Ac 0.000 5.946 0.000
Ac 0.000 2.973 5.150
Mg 2.339 4.460 2.575
Mg 2.339 0.000 5.150
Mg 2.339 4.460 -2.575
Mg 0.000 6.282 3.627
Mg 0.000 0.000 3.045
Mg 0.000 2.637 -1.523
Mg 0.000 2.637 1.523
Mg 0.000 0.000 7.254
Mg 0.000 6.282 -3.627
Zn 2.339 7.233 -2.229
Zn 2.339 3.372 0.000
Zn 2.339 7.233 2.229
Zn 2.339 1.686 7.379
Zn 2.339 5.547 5.150
Zn 2.339 1.686 2.920
```

symmetry: P6/mmm (191)
DOS(E_F): 11.1 states/eV/cell

Stability summary: most stable version B, least stable version A.

Version A
Below is a geometry-optimized AcMgZr structure, with properties calculated at the PBE-GGA level.

```
3
Lattice="3.581 0.000 0.000 0.000 3.581 0.000 -1.791 -1.791 6.936" Properties=species:S:1:pos:R:3 pbc="T T T"
Ac 1.791 1.791 6.875
Mg 1.791 1.791 2.578
Zr 0.000 0.000 4.420
```

symmetry: I4mm (107)
DOS(E_F): 2.0 states/eV/cell

Version B
Below is a geometry-optimized AcMgZr structure, with properties calculated at the PBE-GGA level.

```
3
Lattice="-0.382 2.128 -2.808 -1.416 -3.248 -0.033 -7.019 3.026 3.249" Properties=species:S:1:pos:R:3 pbc="T T T"
Ac -0.086 0.037 0.040
Mg -5.570 0.484 1.125
Zr -3.161 1.385 -0.756
```

symmetry: P3m1 (156)
DOS(E_F): 4.3 states/eV/cell

Stability summary: most stable version A, least stable version B.